[1]
Hf2NbSn2: optimized geometry, GGA-PBE.

Values from the calculation:
Total DFT energy (no corrections): -7.828 eV/atom

a b c (Å): 7.3967 7.3967 3.9296
angles (deg): 90.00 90.00 90.00
Last column: nearest neighbours and their distance in Å.
Space group P4/mbm (No. 127)
Unique sites:
Hf1 0.1676 0.3324 0.0000 (multiplicity 4)  6 Sn 2.84-3.00
Nb1 0.0000 0.0000 0.5000 (multiplicity 2)  4 Sn 2.87
Sn1 0.1370 0.6370 0.5000 (multiplicity 4)  6 Hf 2.84-3.00, 1 Sn 2.87, 2 Nb 2.87


[2]
Tc2HgW: optimized geometry, GGA-PBE.

Values from the calculation:
Total DFT energy (no corrections): -7.933 eV/atom

a b c (Å): 3.0909 4.7127 9.1553
angles (deg): 90.00 90.00 90.00
Last column: nearest neighbours and their distance in Å.
Space group Immm (No. 71)
Unique sites:
Tc1 0.0000 0.0000 0.2267 (multiplicity 4)  2 W 2.59, 4 Tc 2.85
Hg1 0.0000 0.5000 0.0000 (multiplicity 2)  4 W 2.82, 8 Tc 2.94-3.14, 2 Hg 3.09
W1 0.0000 0.5000 0.5000 (multiplicity 2)  4 Tc 2.59, 4 Hg 2.82